# BaCaCr4O12 | Alexandria | PBE with a Hubbard U | optimized geometry
data_BaCaCr4O12
_space_group_name_H-M_alt 'P 4/m m m'
_space_group_IT_number 123
_space_group_name_Hall '-P 4 2'
_cell_length_a 5.3830
_cell_length_b 5.3830
_cell_length_c 7.6442
_cell_angle_alpha 90.00
_cell_angle_beta 90.00
_cell_angle_gamma 90.00
loop_
_atom_site_label
_atom_site_fract_x
_atom_site_fract_y
_atom_site_fract_z
Ba1 0.0000 0.0000 0.0000
Ca1 0.5000 0.5000 0.5000
Cr1 0.0000 0.5000 0.2540
O1 0.0000 0.5000 0.0000
O2 0.0000 0.5000 0.5000
O3 0.2542 0.2542 0.2599
# Density = 4.3 Mg/m³
# E = -6.66 eV/atom